Compound: LiSc
Source: Alexandria
Functional: GGA-PBEsol
Structure: relaxed

The structure in extended XYZ format:
```
2
Lattice="3.001 -0.027 0.000 -1.080 2.800 0.000 0.000 0.000 5.163" Properties=species:S:1:pos:R:3 pbc="T T T"
Li 0.000 0.000 0.000
Sc 0.960 1.387 2.581
```

Computed properties:
Polymorph energy (0 for the lowest one)   0.252 eV per formula unit
DOS(E_F)   1.83 states/eV/cell
ρ   1994 kg/m3
Calculated formation energy   0.22 eV per atom
SG   Cmmm, No. 65